No. 1
A plane-wave DFT calculation with PBE was carried out for a relaxed structure of Cd2PPb.

abc: 7.3128 7.3128 7.3128
angles: 32.55 32.55 32.55
Element x y z (fractional)
1 Cd 0.2295 0.2295 0.2295
2 Cd 0.7705 0.7705 0.7705
3 P 0.5000 0.5000 0.5000
4 Pb 0.0000 0.0000 0.0000

The density of states at the Fermi level comes out at 2.663 states/eV per cell. Its formation energy is 0.13 eV/atom. The magnetization comes out at 0.0 μB/f.u.

No. 2
A plane-wave DFT calculation with PBE was carried out for a relaxed structure of Cd2PPb.

abc: 5.1955 3.9798 5.2982
angles: 90.00 110.14 90.00
Element x y z (fractional)
1 Cd 0.2010 0.0000 0.2947
2 Cd 0.7990 0.0000 0.7053
3 P 0.0000 0.5000 0.5000
4 Pb 0.5000 0.5000 0.0000

The density of states at the Fermi level comes out at 1.393 states/eV per cell. Its formation energy is 0.10 eV/atom. The magnetization comes out at 0.0 μB/f.u.

No. 3
A plane-wave DFT calculation with PBE was carried out for a relaxed structure of Cd2PPb.

abc: 3.4178 3.5731 7.6888
angles: 90.00 90.00 90.00
Element x y z (fractional)
1 Cd 0.0000 0.0000 0.1989
2 Cd 0.0000 0.0000 0.8011
3 P 0.5000 0.5000 0.0000
4 Pb 0.5000 0.5000 0.5000

The density of states at the Fermi level comes out at 1.696 states/eV per cell. Its formation energy is 0.23 eV/atom. The magnetization comes out at 0.0 μB/f.u.

No. 4
A plane-wave DFT calculation with PBE was carried out for a relaxed structure of Cd2PPb2.

abc: 7.0145 7.0145 5.3649
angles: 90.00 90.00 90.00
Element x y z (fractional)
1 Cd 0.1423 0.3577 0.0000
2 Cd 0.3577 0.8577 0.0000
3 Cd 0.6423 0.1423 0.0000
4 Cd 0.8577 0.6423 0.0000
5 P 0.0000 0.0000 0.0000
6 P 0.5000 0.5000 0.0000
7 Pb 0.1732 0.6732 0.5000
8 Pb 0.3268 0.1732 0.5000
9 Pb 0.6732 0.8268 0.5000
10 Pb 0.8268 0.3268 0.5000

The density of states at the Fermi level comes out at 5.605 states/eV per cell. Its formation energy is 0.19 eV/atom. The magnetization comes out at 0.0 μB/f.u.

No. 5
A plane-wave DFT calculation with PBE was carried out for a relaxed structure of CdPPb2.

abc: 5.0439 5.0439 4.0460
angles: 90.00 90.00 90.00
Element x y z (fractional)
1 Cd 0.0000 0.0000 0.0000
2 P 0.5000 0.5000 0.0000
3 Pb 0.0000 0.5000 0.5000
4 Pb 0.5000 0.0000 0.5000

The density of states at the Fermi level comes out at 1.769 states/eV per cell. Its formation energy is 0.24 eV/atom. The magnetization comes out at 0.0 μB/f.u.

No. 6
A plane-wave DFT calculation with PBE was carried out for a relaxed structure of CdPPb2.

abc: 5.2686 5.2686 5.2686
angles: 60.00 60.00 60.00
Element x y z (fractional)
1 Cd 0.0000 0.0000 0.0000
2 P 0.7500 0.7500 0.7500
3 Pb 0.2500 0.2500 0.2500
4 Pb 0.5000 0.5000 0.5000

The density of states at the Fermi level comes out at 2.109 states/eV per cell. Its formation energy is 0.34 eV/atom. The magnetization comes out at 0.0 μB/f.u.

No. 7
A plane-wave DFT calculation with PBE was carried out for a relaxed structure of Cd2PPb.

abc: 5.1163 5.1163 5.1163
angles: 60.00 60.00 60.00
Element x y z (fractional)
1 Cd 0.2500 0.2500 0.2500
2 Cd 0.7500 0.7500 0.7500
3 P 0.0000 0.0000 0.0000
4 Pb 0.5000 0.5000 0.5000

The density of states at the Fermi level comes out at 2.364 states/eV per cell. Its formation energy is 0.36 eV/atom. The magnetization comes out at 0.0 μB/f.u.

No. 8
A plane-wave DFT calculation with PBE was carried out for a relaxed structure of Cd2PPb.

abc: 5.4999 5.4999 5.4999
angles: 130.07 130.07 73.29
Element x y z (fractional)
1 Cd 0.0000 0.0000 0.0000
2 Cd 0.7500 0.2500 0.5000
3 P 0.2500 0.7500 0.5000
4 Pb 0.5000 0.5000 0.0000

The density of states at the Fermi level comes out at 2.291 states/eV per cell. Its formation energy is 0.27 eV/atom. The magnetization comes out at 0.0 μB/f.u.